1.
Computed, not measured: a crystal of GaAs relaxed with PBEsol at the meta-GGA SCAN level of DFT.

It has space group Pmm2 (No. 25), with a = 2.698 Å, b = 5.252 Å, c = 2.698 Å, α = 90.00°, β = 90.00° and γ = 90.00°. The asymmetric unit holds Ga at (0.000, 0.000, 0.000) and As at (0.000, 0.500, 0.005).

For the total energy, the calculation gives -18.174 eV/atom. The total magnetization comes out at 0.000 μB per formula unit. For the formation energy, the calculation gives 0.19 eV/f.u.

2.
Computed, not measured: a crystal of GaGeAsN2 relaxed with PBEsol at the meta-GGA SCAN level of DFT.

It has space group P4/mmm (No. 123), with a = 3.794 Å, b = 3.794 Å, c = 5.266 Å, α = 90.00°, β = 90.00° and γ = 90.00°. The asymmetric unit holds Ga at (0.000, 0.000, 0.000), Ge at (0.500, 0.500, 0.500), As at (0.000, 0.000, 0.500) and N at (0.000, 0.500, 0.000).

For the total energy, the calculation gives -13.502 eV/atom. The total magnetization comes out at 0.000 μB per formula unit. The uncorrected formation energy comes out at 1340 meV/atom.

3.
Computed, not measured: a crystal of GaGeAs2Se relaxed with PBEsol at the meta-GGA SCAN level of DFT.

It has space group P4/mmm (No. 123), with a = 4.889 Å, b = 4.889 Å, c = 4.979 Å, α = 90.00°, β = 90.00° and γ = 90.00°. The asymmetric unit holds Ga at (0.000, 0.000, 0.000), Ge at (0.500, 0.500, 0.500), As at (0.000, 0.500, 0.500) and Se at (0.500, 0.500, 0.000).

For the total energy, the calculation gives -18.523 eV/atom. The total magnetization comes out at 0.749 μB per formula unit. The uncorrected formation energy comes out at 655 meV/atom.